1.
Material: RbNaUO4
Method: DFT, GGA-PBE
State: optimized geometry

```
RbNaUO4
1.0
-2.1858 2.1858 6.9969
2.1858 -2.1858 6.9969
2.1858 2.1858 -6.9969
Rb Na U O
1 1 1 4
direct
0.0000 0.0000 0.0000
0.7276 0.7276 0.0000
0.3342 0.3342 0.0000
0.1963 0.1963 0.0000
0.3296 0.8296 0.5000
0.4727 0.4727 0.0000
0.8296 0.3296 0.5000
```

**Magnetization**: 0.00 μB per atom
**Raw formation energy**: -2.58 eV per atom
**E_tot**: -7.353 eV/atom
**DOS at the Fermi energy**: 0.000 states/eV/f.u.

---

2.
Material: Sc4NbCo5
Method: DFT, GGA-PBE
State: optimized geometry

```
Sc4NbCo5
1.0
3.1221 0.0000 0.0000
0.0000 3.1221 0.0000
0.0000 0.0000 15.6030
Sc Nb Co
4 1 5
direct
0.0000 0.0000 0.1000
0.0000 0.0000 0.2989
0.0000 0.0000 0.7011
0.0000 0.0000 0.9000
0.0000 0.0000 0.5000
0.5000 0.5000 0.0000
0.5000 0.5000 0.2030
0.5000 0.5000 0.4115
0.5000 0.5000 0.5885
0.5000 0.5000 0.7970
```

**Magnetization**: 0.19 μB per atom
**E_tot**: -7.396 eV/atom
**DOS at the Fermi energy**: 5.313 states/eV/f.u.
**DFT formation energy**: -3.04 eV/f.u.

---

3.
Material: LaNbTe2N
Method: DFT, GGA-PBE
State: optimized geometry

```
LaNbTe2N
1.0
5.6217 0.0000 0.0000
0.0000 5.6217 0.0000
0.0000 0.0000 3.9925
La Nb Te N
1 1 2 1
direct
0.0000 0.0000 0.0000
0.5000 0.5000 0.5000
0.0000 0.5000 0.5000
0.5000 0.0000 0.5000
0.5000 0.5000 0.0000
```

**Magnetization**: 0.00 μB per atom
**Raw formation energy**: -0.66 eV per atom
**E_tot**: -6.583 eV/atom
**DOS at the Fermi energy**: 2.951 states/eV/f.u.

---

4.
Material: Th2Ti2Co15
Method: DFT, GGA-PBE
State: optimized geometry

```
Th2Ti2Co15
1.0
4.1994 2.4245 4.1361
-4.1994 2.4245 4.1361
0.0000 -4.8491 4.1361
Th Ti Co
2 2 15
direct
0.1471 0.1471 0.1471
0.8529 0.8529 0.8529
0.3948 0.3948 0.3948
0.6052 0.6052 0.6052
0.0000 0.5000 0.5000
0.1539 0.1539 0.6494
0.1539 0.6494 0.1539
0.2094 0.5000 0.7906
0.2094 0.7906 0.5000
0.3506 0.8461 0.8461
0.5000 0.0000 0.5000
0.5000 0.2094 0.7906
0.5000 0.5000 0.0000
0.5000 0.7906 0.2094
0.6494 0.1539 0.1539
0.7906 0.2094 0.5000
0.7906 0.5000 0.2094
0.8461 0.3506 0.8461
0.8461 0.8461 0.3506
```

**Magnetization**: 0.86 μB per atom
**E_tot**: -7.414 eV/atom
**DOS at the Fermi energy**: 22.730 states/eV/f.u.
**DFT formation energy**: -3.65 eV/f.u.